{
  "formula": "Ta2B2Pd",
  "functional": "PBE-GGA",
  "state": "optimized geometry",
  "e_tot_ev_per_cell": -89.9,
  "lattice": [[6.0306, 0.0000, 0.0000], [0.0000, 6.0306, 0.0000], [0.0000, 0.0000, 3.3583]],
  "species": ["Ta", "Ta", "Ta", "Ta", "B", "B", "B", "B", "Pd", "Pd"],
  "frac_coords": [[0.1768, 0.3232, 0.0000], [0.3232, 0.8232, 0.0000], [0.6768, 0.1768, 0.0000], [0.8232, 0.6768, 0.0000], [0.1042, 0.6042, 0.5000], [0.3958, 0.1042, 0.5000], [0.6042, 0.8958, 0.5000], [0.8958, 0.3958, 0.5000], [0.0000, 0.0000, 0.5000], [0.5000, 0.5000, 0.5000]]
}

=====

{
  "formula": "La2Sm3Tl2",
  "functional": "PBE-GGA",
  "state": "optimized geometry",
  "e_tot_ev_per_cell": -59.0,
  "lattice": [[3.7622, 0.0000, 0.0000], [0.0000, 5.3529, 0.0000], [0.0000, 0.0000, 22.8598]],
  "species": ["La", "La", "La", "La", "Sm", "Sm", "Sm", "Sm", "Sm", "Sm", "Tl", "Tl", "Tl", "Tl"],
  "frac_coords": [[0.0000, 0.0000, 0.0720], [0.0000, 0.0000, 0.9280], [0.5000, 0.5000, 0.4280], [0.5000, 0.5000, 0.5720], [0.0000, 0.0000, 0.5000], [0.0000, 0.5000, 0.2967], [0.0000, 0.5000, 0.7033], [0.5000, 0.0000, 0.2033], [0.5000, 0.0000, 0.7967], [0.5000, 0.5000, 0.0000], [0.0000, 0.5000, 0.1536], [0.0000, 0.5000, 0.8464], [0.5000, 0.0000, 0.3464], [0.5000, 0.0000, 0.6536]]
}

=====

{
  "formula": "Li5Ag6",
  "functional": "PBE-GGA",
  "state": "optimized geometry",
  "e_tot_ev_per_cell": -28.2,
  "lattice": [[3.7498, -6.7957, 0.0000], [3.7498, 6.7957, 0.0000], [-2.7409, 0.0000, 3.6170]],
  "species": ["Li", "Li", "Li", "Li", "Li", "Ag", "Ag", "Ag", "Ag", "Ag", "Ag"],
  "frac_coords": [[0.0000, 0.0000, 0.0000], [0.1702, 0.8298, 0.5000], [0.3182, 0.6818, 0.0000], [0.6818, 0.3182, 0.0000], [0.8298, 0.1702, 0.5000], [0.1082, 0.4125, 0.2608], [0.2606, 0.2606, 0.7606], [0.4125, 0.1082, 0.2608], [0.5875, 0.8918, 0.7392], [0.7394, 0.7394, 0.2394], [0.8918, 0.5875, 0.7392]]
}

=====

{
  "formula": "TlTc2GeMo",
  "functional": "PBE-GGA",
  "state": "optimized geometry",
  "e_tot_ev_per_cell": -29.9,
  "lattice": [[4.5485, 0.0000, 0.0000], [0.0000, 4.5485, 0.0000], [0.0000, 0.0000, 4.9848]],
  "species": ["Tl", "Tc", "Tc", "Ge", "Mo"],
  "frac_coords": [[0.0000, 0.0000, 0.0000], [0.0000, 0.5000, 0.5000], [0.5000, 0.0000, 0.5000], [0.0000, 0.0000, 0.5000], [0.5000, 0.5000, 0.0000]]
}

=====

{
  "formula": "Cd2IrCl",
  "functional": "PBE-GGA",
  "state": "optimized geometry",
  "raw_formation_energy_ev_per_atom": 0.42,
  "lattice": [[6.2079, 0.0000, 0.0000], [0.0000, 6.2079, 0.0000], [0.0000, 0.0000, 12.8398]],
  "species": ["Cd", "Cd", "Cd", "Cd", "Cd", "Cd", "Cd", "Cd", "Ir", "Ir", "Ir", "Ir", "Cl", "Cl", "Cl", "Cl"],
  "frac_coords": [[0.2228, 0.2500, 0.1250], [0.2500, 0.7228, 0.3750], [0.2500, 0.7772, 0.8750], [0.2772, 0.2500, 0.6250], [0.7228, 0.7500, 0.6250], [0.7500, 0.2228, 0.8750], [0.7500, 0.2772, 0.3750], [0.7772, 0.7500, 0.1250], [0.0000, 0.0000, 0.0000], [0.0000, 0.5000, 0.2500], [0.5000, 0.0000, 0.7500], [0.5000, 0.5000, 0.5000], [0.0000, 0.0000, 0.5000], [0.0000, 0.5000, 0.7500], [0.5000, 0.0000, 0.2500], [0.5000, 0.5000, 0.0000]]
}

=====

{
  "formula": "Re2SbTe",
  "functional": "PBE-GGA",
  "state": "optimized geometry",
  "raw_formation_energy_ev_per_atom": 1.20,
  "lattice": [[6.3066, 0.0000, 0.0000], [0.0000, 8.7655, 0.0000], [-1.4616, 0.0000, 2.7676]],
  "species": ["Re", "Re", "Re", "Re", "Sb", "Sb", "Te", "Te"],
  "frac_coords": [[0.2500, 0.2500, 0.0000], [0.2500, 0.7500, 0.0000], [0.7500, 0.2500, 0.0000], [0.7500, 0.7500, 0.0000], [0.0000, 0.0000, 0.5000], [0.5000, 0.5000, 0.5000], [0.0000, 0.5000, 0.5000], [0.5000, 0.0000, 0.5000]]
}

=====

{
  "formula": "ThAl8Cu4",
  "functional": "PBE-GGA",
  "state": "optimized geometry",
  "e_tot_ev_per_cell": -57.4,
  "lattice": [[-4.4781, 4.4781, 2.5604], [4.4781, -4.4781, 2.5604], [4.4781, 4.4781, -2.5604]],
  "species": ["Th", "Al", "Al", "Al", "Al", "Al", "Al", "Al", "Al", "Cu", "Cu", "Cu", "Cu"],
  "frac_coords": [[0.0000, 0.0000, 0.0000], [0.0000, 0.3499, 0.3499], [0.0000, 0.6501, 0.6501], [0.2790, 0.5000, 0.7790], [0.3499, 0.0000, 0.3499], [0.5000, 0.2790, 0.7790], [0.5000, 0.7210, 0.2210], [0.6501, 0.0000, 0.6501], [0.7210, 0.5000, 0.2210], [0.0000, 0.0000, 0.5000], [0.0000, 0.5000, 0.0000], [0.5000, 0.0000, 0.0000], [0.5000, 0.5000, 0.5000]]
}

=====

| no. | spin magnetization (μB per cell) |
| --- | --- |
| 1 | 0.000 |
| 2 | 0.003 |
| 3 | 0.000 |
| 4 | 2.235 |
| 5 | 0.000 |
| 6 | 0.000 |
| 7 | 0.000 |